Ba3Sb: optimized geometry, PBE.

Structure (extended XYZ):
```
4
Lattice="4.4796 0.0000 0.0000 0.0000 5.8761 0.0000 -2.2398 -2.9381 8.0092" Properties=species:S:1:pos:R:3 pbc="T T T"
Ba 2.2398 -0.4884 2.7081
Ba 0.0000 2.4496 5.3011
Ba 2.2398 2.4472 0.0000
Sb 0.0000 5.3851 0.0000
```

Summary:
- Excess energy over the best structure of this formula in the dataset: 0.064 eV per atom
- Crystal system: orthorhombic

=====

AlHg2Os: optimized geometry, PBE.

Structure (extended XYZ):
```
4
Lattice="2.9384 -0.0281 0.0000 -1.5863 2.4735 0.0000 0.0000 0.0000 10.5876" Properties=species:S:1:pos:R:3 pbc="T T T"
Hg 0.0000 0.0000 5.1812
Hg 0.0000 0.0000 0.1126
Al 0.6760 1.2227 7.9407
Os 0.6760 1.2227 2.6469
```

Summary:
- Energy of formation: 0.696 eV per atom
- Crystal system: orthorhombic

=====

DyYHo2: optimized geometry, PBE.

Structure (extended XYZ):
```
4
Lattice="-2.2403 2.3204 1.4588 -1.4255 -2.5957 1.9395 6.6269 1.8118 7.2953" Properties=species:S:1:pos:R:3 pbc="T T T"
Ho 1.6460 0.4500 1.8121
Ho 4.9808 1.3618 5.4832
Y 1.4805 0.7683 5.3468
Dy -1.8329 -0.1376 1.6992
```

Summary:
- Excess energy over the best structure of this formula in the dataset: 0.018 eV per atom
- Energy of formation: 0.022 eV per atom
- Crystal system: tetragonal

=====

Y3TlSe: optimized geometry, PBE.

Structure (extended XYZ):
```
20
Lattice="4.0318 0.0000 0.0000 0.0000 9.1127 0.0000 0.0000 0.0000 15.1478" Properties=species:S:1:pos:R:3 pbc="T T T"
Se 3.0238 6.0543 0.8370
Se 1.0079 3.0585 14.3107
Se 3.0238 1.4979 6.7369
Se 1.0079 7.6148 8.4109
Y 3.0238 1.4603 0.3060
Y 1.0079 7.6524 14.8418
Y 3.0238 0.3068 9.3085
Y 3.0238 4.8632 13.4131
Y 3.0238 6.0166 7.2679
Y 3.0238 7.2521 3.3464
Y 1.0079 6.4170 10.9203
Y 1.0079 4.2496 1.7346
Y 1.0079 3.0961 7.8798
Y 3.0238 2.6957 4.2275
Y 1.0079 8.8059 5.8392
Y 1.0079 1.8606 11.8013
Tl 3.0238 8.5059 12.4898
Tl 1.0079 0.6068 2.6579
Tl 3.0238 3.9496 10.2318
Tl 1.0079 5.1632 4.9159
```

Summary:
- Excess energy over the best structure of this formula in the dataset: 0.000 eV per atom
- Crystal system: orthorhombic

=====

BaAgSb4: optimized geometry, PBE.

Structure (extended XYZ):
```
6
Lattice="0.0000 4.5160 4.5160 4.5160 0.0000 4.5160 4.5160 4.5160 0.0000" Properties=species:S:1:pos:R:3 pbc="T T T"
Ag 6.7740 6.7740 6.7740
Sb 5.6280 3.4041 5.6280
Sb 3.4041 3.4041 3.4041
Sb 5.6280 5.6280 3.4041
Sb 3.4041 5.6280 5.6280
Ba 0.0000 0.0000 0.0000
```

Summary:
- Crystal system: cubic

=====

Eu2CuTe4: optimized geometry, PBE.

Structure (extended XYZ):
```
7
Lattice="4.5029 0.0000 0.0000 0.0000 4.5029 0.0000 0.0000 0.0000 9.9085" Properties=species:S:1:pos:R:3 pbc="T T T"
Te 0.0000 0.0000 0.0000
Te 0.0000 2.2514 6.3527
Te 2.2514 2.2514 0.0000
Te 2.2514 0.0000 3.5558
Eu 0.0000 2.2514 2.5785
Eu 2.2514 0.0000 7.3300
Cu 2.2514 2.2514 4.9543
```

Summary:
- Crystal system: tetragonal

=====

SrMo2Pt: optimized geometry, PBE.

Structure (extended XYZ):
```
4
Lattice="0.0000 3.3082 3.3082 3.3082 0.0000 3.3082 3.3082 3.3082 0.0000" Properties=species:S:1:pos:R:3 pbc="T T T"
Sr 0.0000 0.0000 0.0000
Pt 3.3082 3.3082 3.3082
Mo 1.6541 1.6541 1.6541
Mo 4.9623 4.9623 4.9623
```

Summary:
- Excess energy over the best structure of this formula in the dataset: 0.684 eV per atom
- Energy of formation: 0.894 eV per atom
- Crystal system: cubic

=====

ReOs2Pt: optimized geometry, PBE.

Structure (extended XYZ):
```
4
Lattice="4.7324 0.0025 0.0000 1.4927 4.4908 0.0000 -3.1125 -2.2467 2.7677" Properties=species:S:1:pos:R:3 pbc="T T T"
Os 3.1125 2.2467 0.0000
Os 0.0000 0.0000 0.0000
Re 2.3662 0.0013 1.3838
Pt 0.7463 2.2454 1.3838
```

Summary:
- Excess energy over the best structure of this formula in the dataset: 0.018 eV per atom
- Energy of formation: 0.077 eV per atom
- Crystal system: tetragonal

=====

NdPaCoBr: optimized geometry, PBE.

Structure (extended XYZ):
```
8
Lattice="-2.3456 2.1249 2.3798 -1.2859 -1.5488 3.4100 11.7124 6.0299 9.4547" Properties=species:S:1:pos:R:3 pbc="T T T"
Nd 0.7133 1.8000 5.6849
Nd 7.3675 4.8060 9.5595
Co 7.0500 3.9237 6.7399
Co 1.0308 2.6823 8.5046
Pa 3.7117 3.8934 10.0656
Pa 4.3692 2.7126 5.1789
Br 7.7620 5.7231 12.4240
Br 0.3189 0.8829 2.8204
```

Summary:
- Crystal system: trigonal

=====

ZrBeB2Br: optimized geometry, PBE.

Structure (extended XYZ):
```
5
Lattice="3.7288 0.0000 0.0000 0.0000 5.1799 0.0000 0.0000 0.0000 3.7288" Properties=species:S:1:pos:R:3 pbc="T T T"
B 0.0000 0.0000 1.8644
B 1.8644 0.0000 0.0000
Be 0.0000 0.0000 0.0000
Zr 0.0000 2.5900 0.0000
Br 1.8644 2.5900 1.8644
```

Summary:
- Crystal system: tetragonal

=====

CsPt2Pb2: optimized geometry, PBE.

Structure (extended XYZ):
```
10
Lattice="9.0679 0.0000 0.0000 0.0000 9.0679 0.0000 0.0000 0.0000 3.3247" Properties=species:S:1:pos:R:3 pbc="T T T"
Pb 3.3478 7.8818 0.0000
Pb 7.8818 5.7201 0.0000
Pb 5.7201 1.1862 0.0000
Pb 1.1862 3.3478 0.0000
Cs 4.5340 4.5340 0.0000
Cs 0.0000 0.0000 0.0000
Pt 5.7725 7.8294 1.6623
Pt 7.8294 3.2954 1.6623
Pt 1.2386 5.7725 1.6623
Pt 3.2954 1.2386 1.6623
```

Summary:
- Excess energy over the best structure of this formula in the dataset: 0.289 eV per atom
- Energy of formation: 0.034 eV per atom
- Crystal system: tetragonal

=====

BaZn9Ag2: optimized geometry, PBE.

Structure (extended XYZ):
```
12
Lattice="3.7093 0.0000 0.0000 0.0000 8.5695 0.0000 0.0000 -4.2847 7.4214" Properties=species:S:1:pos:R:3 pbc="T T T"
Zn 0.0000 2.1424 3.7107
Zn 1.8547 2.4980 1.4422
Zn 1.8547 1.7867 5.9791
Zn 1.8547 4.2847 4.5369
Zn 1.8547 -1.7867 5.9791
Zn 0.0000 4.2847 0.0000
Zn 1.8547 6.0714 1.4422
Zn 0.0000 -2.1424 3.7107
Zn 1.8547 0.0000 2.8845
Ag 0.0000 4.2847 2.4738
Ag 0.0000 0.0000 4.9476
Ba 0.0000 0.0000 0.0000
```

Summary:
- Energy of formation: 0.015 eV per atom
- Crystal system: hexagonal

=====

Pr4Pb: optimized geometry, PBE.

Structure (extended XYZ):
```
10
Lattice="5.2731 0.0000 -1.5401 -0.7800 6.4150 -2.6705 -0.0628 0.1705 9.5818" Properties=species:S:1:pos:R:3 pbc="T T T"
Pr 0.2439 2.2827 0.8352
Pr 4.1863 4.3027 4.5360
Pr 3.5187 1.2815 2.2501
Pr 0.9116 5.3040 3.1210
Pr 2.6365 0.0000 -0.7701
Pr 1.3186 1.9566 4.5145
Pr 2.2465 3.2075 -2.1053
Pr 3.1117 4.6288 0.8566
Pb -0.1103 5.5455 -0.3778
Pb 4.5406 1.0400 5.7489
```

Summary:
- Excess energy over the best structure of this formula in the dataset: 0.000 eV per atom
- Energy of formation: -0.172 eV per atom
- Crystal system: orthorhombic

=====

K8Se2O: optimized geometry, PBE.

Structure (extended XYZ):
```
11
Lattice="5.3739 0.0000 0.0000 0.0000 9.1279 2.0974 -2.6870 -0.6492 8.7409" Properties=species:S:1:pos:R:3 pbc="T T T"
K 0.0000 6.2051 9.3942
K 2.6870 8.2536 5.1467
K 2.6870 2.2735 1.4440
K 0.0000 7.7487 2.9496
K 0.0000 3.8037 4.0830
K 2.6870 4.6749 6.7553
K 0.0000 0.2251 5.6915
K 2.6870 0.7300 7.8887
Se 0.0000 6.5534 5.9977
Se 2.6870 1.9253 4.8406
O 2.6870 0.0000 0.0000
```

Summary:
- Crystal system: monoclinic

=====

Dy8Hg2Au: optimized geometry, PBE.

Structure (extended XYZ):
```
11
Lattice="5.1609 0.0000 0.0000 0.0000 6.8790 0.3527 -2.5804 -2.5198 8.6689" Properties=species:S:1:pos:R:3 pbc="T T T"
Dy 0.0000 -1.5168 5.9055
Dy 2.5804 5.8761 3.1162
Dy 0.0000 5.1753 0.6632
Dy 0.0000 1.1830 3.6226
Dy 2.5804 -0.8160 8.3585
Dy 0.0000 1.7060 7.2996
Dy 2.5804 3.1762 5.3990
Dy 2.5804 2.6533 1.7221
Hg 2.5804 0.2338 5.5035
Hg 0.0000 4.1255 3.5181
Au 2.5804 0.0000 0.0000
```

Summary:
- Excess energy over the best structure of this formula in the dataset: 0.000 eV per atom
- Energy of formation: -0.301 eV per atom
- Crystal system: monoclinic

=====

Ca3NpSc2N6: optimized geometry, PBE.

Structure (extended XYZ):
```
12
Lattice="-4.3176 -3.8482 0.1948 4.7210 -1.1002 -3.1608 2.2599 -0.8158 5.4191" Properties=species:S:1:pos:R:3 pbc="T T T"
N 3.5340 -4.0064 1.4436
N 0.7785 -3.8922 -1.0905
N -0.8708 -1.7580 1.0095
N 0.6403 -4.8861 2.5179
N 2.0230 -0.8782 -0.0648
N 1.8847 -1.8721 3.5436
Ca 1.3316 -2.8822 1.2266
Ca -1.6545 -3.7900 2.3351
Ca 4.3177 -1.9743 0.1180
Sc 1.7062 -2.0168 -2.0415
Sc -1.3028 -2.9317 -0.9244
Np 0.0000 0.0000 0.0000
```

Summary:
- Crystal system: monoclinic

=====

Pm2GaSn: optimized geometry, PBE.

Structure (extended XYZ):
```
8
Lattice="4.2447 0.0000 0.0000 0.0000 6.1808 -0.1219 0.0000 -3.2440 8.5690" Properties=species:S:1:pos:R:3 pbc="T T T"
Sn 1.0612 1.4294 1.7675
Sn 3.1835 1.5074 6.6796
Pm 1.0612 3.0048 4.7419
Pm 1.0612 4.5502 0.5488
Pm 3.1835 -1.6134 7.8983
Pm 3.1835 -0.0680 3.7052
Ga 3.1835 3.1589 2.4205
Ga 1.0612 -0.2221 6.0266
```

Summary:
- Energy of formation: -0.717 eV per atom
- Crystal system: monoclinic

=====

Nd3Sm8In: optimized geometry, PBE.

Structure (extended XYZ):
```
12
Lattice="6.0591 1.2681 -2.3092 1.8248 8.6189 -1.2347 -1.4487 2.7275 8.3536" Properties=species:S:1:pos:R:3 pbc="T T T"
Sm 4.2411 7.4345 2.6319
Sm 1.3657 8.4693 0.8389
Sm 2.6397 1.7187 1.8347
Sm 4.1076 3.8462 4.3328
Sm 2.7357 10.5252 3.4681
Sm 5.6011 4.1740 -2.2210
Sm -0.1364 8.2441 7.2808
Sm 1.1631 5.0794 2.6785
Nd 4.1495 4.4973 0.7694
Nd 1.1001 4.9128 6.5434
Nd 4.2618 7.3973 -1.4038
In 1.2628 7.8474 4.4263
```

Summary:
- Energy of formation: -0.045 eV per atom
- Crystal system: triclinic

=====

Pa3CdN6: optimized geometry, PBE.

Structure (extended XYZ):
```
20
Lattice="-3.8868 -1.4668 -5.3737 -2.6066 -4.9662 3.8311 -4.2640 4.7178 2.3866" Properties=species:S:1:pos:R:3 pbc="T T T"
N -7.0512 0.7700 0.5199
N -3.7061 -2.4852 0.3241
N -6.4861 -1.9724 2.1503
N -4.0269 0.3140 1.9240
N -5.3159 3.4343 0.6081
N -5.4414 -5.1495 0.2360
N -6.7248 1.2814 -3.0524
N -4.2713 0.2572 -1.3063
N -4.0325 -2.9966 3.8964
N -6.7305 -2.0292 -1.0800
N -6.0999 0.9557 4.2496
N -4.6574 -2.6709 -3.4056
Pa -2.9083 -1.7199 2.3429
Pa -3.2373 -1.7237 -1.8585
Pa -7.1131 -3.5979 0.5604
Pa -7.5200 0.0085 2.7025
Pa -3.6442 1.8827 0.2837
Pa -7.8491 0.0047 -1.4989
Cd -5.3787 -0.8576 0.4220
Cd 0.0000 0.0000 0.0000
```

Summary:
- Crystal system: trigonal

=====

NaBe2AsO6: optimized geometry, PBE.

Structure (extended XYZ):
```
20
Lattice="-5.4064 -0.9260 -1.3109 -0.2044 -4.9498 -4.6743 -2.8254 -3.5021 5.1131" Properties=species:S:1:pos:R:3 pbc="T T T"
O -6.7547 -7.8130 0.1982
O -3.6441 -5.6727 -2.5642
O -0.9001 -3.8988 -2.0917
O -2.7759 -5.2021 -0.0435
O -5.6603 -4.1758 -0.8287
O -3.6345 -7.5803 -0.7035
O -7.5361 -5.4791 1.2196
O -5.5132 -5.6463 -0.5718
O -4.8017 -1.7976 -0.1686
O -1.6815 -1.5649 -1.0703
O -4.7921 -3.7052 1.6920
O -2.9230 -3.7316 -0.3004
Be -1.4021 -3.1233 -0.7528
Be -4.5164 -3.3593 0.1267
Be -7.0341 -6.2546 -0.1193
Be -3.9198 -6.0186 -0.9988
As -4.7504 -5.3730 -3.8231
As -3.6858 -4.0050 2.9510
Na -6.5782 -4.3634 3.0022
Na -1.8580 -5.0145 -3.8743
```

Summary:
- Crystal system: monoclinic

=====

Zn2Pd2I: optimized geometry, PBE.

Structure (extended XYZ):
```
10
Lattice="7.3683 0.0000 0.0000 0.0000 7.3683 0.0000 0.0000 0.0000 3.3685" Properties=species:S:1:pos:R:3 pbc="T T T"
Pd 2.6437 6.3278 0.0000
Pd 1.0405 2.6437 0.0000
Pd 6.3278 4.7246 0.0000
Pd 4.7246 1.0405 0.0000
I 3.6841 3.6841 0.0000
I 0.0000 0.0000 0.0000
Zn 6.2854 2.6013 1.6843
Zn 2.6013 1.0829 1.6843
Zn 4.7670 6.2854 1.6843
Zn 1.0829 4.7670 1.6843
```

Summary:
- Crystal system: tetragonal

=====

HgRhSe2N: optimized geometry, PBE.

Structure (extended XYZ):
```
5
Lattice="-1.8786 -2.5800 4.1501 -3.2658 -2.6446 -3.1224 2.5295 -2.5811 -0.4596" Properties=species:S:1:pos:R:3 pbc="T T T"
Se -0.9393 -1.2900 2.0750
Se -1.6329 -1.3223 -1.5612
Hg -1.3074 -3.9028 0.2840
N 1.2648 -1.2906 -0.2298
Rh 0.0000 0.0000 0.0000
```

Summary:
- Excess energy over the best structure of this formula in the dataset: 0.000 eV per atom
- Crystal system: tetragonal

=====

MgBeTe: optimized geometry, PBE.

Structure (extended XYZ):
```
3
Lattice="3.8251 0.0000 0.0000 -1.9126 3.3127 0.0000 0.0000 0.0000 5.0857" Properties=species:S:1:pos:R:3 pbc="T T T"
Be 0.0000 0.0000 4.8786
Mg 1.9126 1.1042 1.4727
Te 0.0000 2.2084 3.8201
```

Summary:
- Excess energy over the best structure of this formula in the dataset: 0.000 eV per atom
- Crystal system: trigonal

=====

Number 1: energy -3.01 eV/atom. Number 2: energy -3.20 eV/atom. Number 3: energy -5.03 eV/atom. Number 4: energy -5.94 eV/atom. Number 5: energy -3.69 eV/atom. Number 6: energy -6.32 eV/atom. Number 7: energy -6.45 eV/atom. Number 8: energy -10.16 eV/atom. Number 9: energy -6.48 eV/atom. Number 10: energy -4.66 eV/atom. Number 11: energy -4.04 eV/atom. Number 12: energy -1.58 eV/atom. Number 13: energy -4.74 eV/atom. Number 14: energy -2.67 eV/atom. Number 15: energy -4.00 eV/atom. Number 16: energy -8.21 eV/atom. Number 17: energy -4.85 eV/atom. Number 18: energy -4.61 eV/atom. Number 19: energy -9.02 eV/atom. Number 20: energy -6.08 eV/atom. Number 21: energy -3.01 eV/atom. Number 22: energy -4.16 eV/atom. Number 23: energy -2.84 eV/atom.